(i)
Ca2CdI2: relaxed, PBEsol.

```
data_Ca2CdI2
_chemical_formula_sum 'Ca4 Cd2 I4'
_space_group_name_H-M_alt 'P 4/m b m'
_space_group_IT_number 127
_space_group_name_Hall '-P 4 2ab'
_cell_length_a 8.3301
_cell_length_b 8.3301
_cell_length_c 4.6969
_cell_angle_alpha 90.00
_cell_angle_beta 90.00
_cell_angle_gamma 90.00
loop_
_atom_site_label
_atom_site_fract_x
_atom_site_fract_y
_atom_site_fract_z
_atom_site_occupancy
Ca1 0.1614 0.3386 0.0000 1
Cd1 0.0000 0.0000 0.0000 1
I1 0.1535 0.6535 0.5000 1
```

=====

(ii)
Ca2CdI2: relaxed, PBEsol.

```
data_Ca2CdI2
_chemical_formula_sum 'Ca4 Cd2 I4'
_space_group_name_H-M_alt 'I 4/m m m'
_space_group_IT_number 139
_space_group_name_Hall '-I 4 2'
_cell_length_a 5.4380
_cell_length_b 5.4380
_cell_length_c 12.7696
_cell_angle_alpha 90.00
_cell_angle_beta 90.00
_cell_angle_gamma 90.00
loop_
_atom_site_label
_atom_site_fract_x
_atom_site_fract_y
_atom_site_fract_z
_atom_site_occupancy
Ca1 0.0000 0.5000 0.2500 1
Cd1 0.0000 0.0000 0.0000 1
I1 0.0000 0.0000 0.3602 1
```

=====

The structure with the most favorable energy is (i); the runner-up is 162 meV per atom above it.

=====

(i)
Ca2CdIn: relaxed, PBEsol.

```
data_Ca2CdIn
_chemical_formula_sum 'Ca4 Cd2 In2'
_space_group_name_H-M_alt 'C 1 m 1'
_space_group_IT_number 8
_cell_length_a 11.8590
_cell_length_b 3.6099
_cell_length_c 5.4838
_cell_angle_alpha 90.00
_cell_angle_beta 109.80
_cell_angle_gamma 90.00
loop_
_space_group_symop_operation_xyz
'x,y,z'
'x,-y,z'
'x+1/2,y+1/2,z'
'x+1/2,-y+1/2,z'
loop_
_atom_site_label
_atom_site_fract_x
_atom_site_fract_y
_atom_site_fract_z
_atom_site_occupancy
Ca1 0.0000 0.0000 0.0000 1
Ca2 0.2051 0.0000 0.6547 1
Cd1 0.2484 0.5000 0.1793 1
In1 0.4518 0.0000 0.4688 1
```

=====

(ii)
Ca2CdIn: relaxed, PBEsol.

```
data_Ca2CdIn
_chemical_formula_sum 'Ca2 Cd1 In1'
_space_group_name_H-M_alt 'P 4/m m m'
_space_group_IT_number 123
_space_group_name_Hall '-P 4 2'
_cell_length_a 3.6620
_cell_length_b 3.6620
_cell_length_c 8.0049
_cell_angle_alpha 90.00
_cell_angle_beta 90.00
_cell_angle_gamma 90.00
loop_
_atom_site_label
_atom_site_fract_x
_atom_site_fract_y
_atom_site_fract_z
_atom_site_occupancy
Ca1 0.0000 0.0000 0.2451 1
Cd1 0.5000 0.5000 0.0000 1
In1 0.5000 0.5000 0.5000 1
```

=====

(iii)
Ca2CdIn: relaxed, PBEsol.

```
data_Ca2CdIn
_chemical_formula_sum 'Ca4 Cd2 In2'
_space_group_name_H-M_alt 'I -4 m 2'
_space_group_IT_number 119
_space_group_name_Hall 'I -4 -2'
_cell_length_a 4.6840
_cell_length_b 4.6840
_cell_length_c 9.9325
_cell_angle_alpha 90.00
_cell_angle_beta 90.00
_cell_angle_gamma 90.00
loop_
_atom_site_label
_atom_site_fract_x
_atom_site_fract_y
_atom_site_fract_z
_atom_site_occupancy
Ca1 0.0000 0.0000 0.0000 1
Ca2 0.0000 0.5000 0.2500 1
Cd1 0.0000 0.0000 0.5000 1
In1 0.0000 0.5000 0.7500 1
```

=====

(iv)
Ca2CdIn: relaxed, PBEsol.

```
data_Ca2CdIn
_chemical_formula_sum 'Ca2 Cd1 In1'
_space_group_name_H-M_alt 'P m m 2'
_space_group_IT_number 25
_cell_length_a 3.7077
_cell_length_b 5.3685
_cell_length_c 5.3943
_cell_angle_alpha 90.00
_cell_angle_beta 90.00
_cell_angle_gamma 90.00
loop_
_space_group_symop_operation_xyz
'x,y,z'
'-x,-y,z'
'-x,y,z'
'x,-y,z'
loop_
_atom_site_label
_atom_site_fract_x
_atom_site_fract_y
_atom_site_fract_z
_atom_site_occupancy
Ca1 0.0000 0.0000 0.0000 1
Ca2 0.0000 0.5000 0.4755 1
Cd1 0.5000 0.5000 0.9652 1
In1 0.5000 0.0000 0.5066 1
```

=====

The structure with the most favorable energy is (iv); the runner-up is 12 meV per atom above it.

=====

(i)
CaLa2Cd2: relaxed, PBEsol.

```
data_CaLa2Cd2
_chemical_formula_sum 'Ca2 La4 Cd4'
_space_group_name_H-M_alt 'P 4/m b m'
_space_group_IT_number 127
_space_group_name_Hall '-P 4 2ab'
_cell_length_a 9.0290
_cell_length_b 9.0290
_cell_length_c 3.7828
_cell_angle_alpha 90.00
_cell_angle_beta 90.00
_cell_angle_gamma 90.00
loop_
_atom_site_label
_atom_site_fract_x
_atom_site_fract_y
_atom_site_fract_z
_atom_site_occupancy
Ca1 0.0000 0.0000 0.0000 1
La1 0.1690 0.3310 0.5000 1
Cd1 0.1256 0.6256 0.0000 1
```

=====

(ii)
CaLa2Cd2: relaxed, PBEsol.

```
data_CaLa2Cd2
_chemical_formula_sum 'Ca2 La4 Cd4'
_space_group_name_H-M_alt 'I 4/m m m'
_space_group_IT_number 139
_space_group_name_Hall '-I 4 2'
_cell_length_a 4.6295
_cell_length_b 4.6295
_cell_length_c 14.6537
_cell_angle_alpha 90.00
_cell_angle_beta 90.00
_cell_angle_gamma 90.00
loop_
_atom_site_label
_atom_site_fract_x
_atom_site_fract_y
_atom_site_fract_z
_atom_site_occupancy
Ca1 0.0000 0.0000 0.0000 1
La1 0.0000 0.5000 0.2500 1
Cd1 0.0000 0.0000 0.4074 1
```

=====

The structure with the most favorable energy is (i); the runner-up is 125 meV per atom above it.

=====

(i)
LiCaCd2: relaxed, PBEsol.

```
data_LiCaCd2
_chemical_formula_sum 'Li2 Ca2 Cd4'
_space_group_name_H-M_alt 'I -4 m 2'
_space_group_IT_number 119
_space_group_name_Hall 'I -4 -2'
_cell_length_a 4.9832
_cell_length_b 4.9832
_cell_length_c 7.0315
_cell_angle_alpha 90.00
_cell_angle_beta 90.00
_cell_angle_gamma 90.00
loop_
_atom_site_label
_atom_site_fract_x
_atom_site_fract_y
_atom_site_fract_z
_atom_site_occupancy
Li1 0.0000 0.0000 0.0000 1
Ca1 0.0000 0.5000 0.2500 1
Cd1 0.0000 0.0000 0.5000 1
Cd2 0.0000 0.5000 0.7500 1
```

=====

(ii)
LiCaCd2: relaxed, PBEsol.

```
data_LiCaCd2
_chemical_formula_sum 'Li3 Ca3 Cd6'
_space_group_name_H-M_alt 'R 3 m'
_space_group_IT_number 160
_space_group_name_Hall 'R 3 -2"'
_cell_length_a 3.5043
_cell_length_b 3.5043
_cell_length_c 28.6817
_cell_angle_alpha 90.00
_cell_angle_beta 90.00
_cell_angle_gamma 120.00
loop_
_atom_site_label
_atom_site_fract_x
_atom_site_fract_y
_atom_site_fract_z
_atom_site_occupancy
Li1 0.0000 0.0000 0.0000 1
Ca1 0.0000 0.0000 0.2347 1
Cd1 0.0000 0.0000 0.4810 1
Cd2 0.0000 0.0000 0.7369 1
```

=====

(iii)
LiCaCd2: relaxed, PBEsol.

```
data_LiCaCd2
_chemical_formula_sum 'Li1 Ca1 Cd2'
_space_group_name_H-M_alt 'P 1 m 1'
_space_group_IT_number 6
_cell_length_a 3.4308
_cell_length_b 4.9353
_cell_length_c 5.5863
_cell_angle_alpha 90.00
_cell_angle_beta 90.68
_cell_angle_gamma 90.00
loop_
_space_group_symop_operation_xyz
'x,y,z'
'x,-y,z'
loop_
_atom_site_label
_atom_site_fract_x
_atom_site_fract_y
_atom_site_fract_z
_atom_site_occupancy
Li1 0.0000 0.0000 0.0000 1
Ca1 0.9822 0.5000 0.3866 1
Cd1 0.4870 0.0000 0.5815 1
Cd2 0.4870 0.5000 0.8817 1
```

=====

The structure with the most favorable energy is (i); the runner-up is 62 meV per atom above it.

=====

(i)
LiCaCd2: relaxed, PBEsol.

```
data_LiCaCd2
_chemical_formula_sum 'Li2 Ca2 Cd4'
_space_group_name_H-M_alt 'I 4/m m m'
_space_group_IT_number 139
_space_group_name_Hall '-I 4 2'
_cell_length_a 4.6631
_cell_length_b 4.6631
_cell_length_c 8.4462
_cell_angle_alpha 90.00
_cell_angle_beta 90.00
_cell_angle_gamma 90.00
loop_
_atom_site_label
_atom_site_fract_x
_atom_site_fract_y
_atom_site_fract_z
_atom_site_occupancy
Li1 0.0000 0.0000 0.0000 1
Ca1 0.0000 0.0000 0.5000 1
Cd1 0.0000 0.5000 0.2500 1
```

=====

(ii)
LiCaCd2: relaxed, PBEsol.

```
data_LiCaCd2
_chemical_formula_sum 'Li1 Ca1 Cd2'
_space_group_name_H-M_alt 'P 4/m m m'
_space_group_IT_number 123
_space_group_name_Hall '-P 4 2'
_cell_length_a 4.6877
_cell_length_b 4.6877
_cell_length_c 4.3010
_cell_angle_alpha 90.00
_cell_angle_beta 90.00
_cell_angle_gamma 90.00
loop_
_atom_site_label
_atom_site_fract_x
_atom_site_fract_y
_atom_site_fract_z
_atom_site_occupancy
Li1 0.0000 0.0000 0.0000 1
Ca1 0.5000 0.5000 0.0000 1
Cd1 0.0000 0.5000 0.5000 1
```

=====

The structure with the most favorable energy is (i); the runner-up is 36 meV per atom above it.

=====

(i)
Li2CaCd2: relaxed, PBEsol.

```
data_Li2CaCd2
_chemical_formula_sum 'Li4 Ca2 Cd4'
_space_group_name_H-M_alt 'P 4/m b m'
_space_group_IT_number 127
_space_group_name_Hall '-P 4 2ab'
_cell_length_a 8.1648
_cell_length_b 8.1648
_cell_length_c 3.3138
_cell_angle_alpha 90.00
_cell_angle_beta 90.00
_cell_angle_gamma 90.00
loop_
_atom_site_label
_atom_site_fract_x
_atom_site_fract_y
_atom_site_fract_z
_atom_site_occupancy
Li1 0.1636 0.3364 0.0000 1
Ca1 0.0000 0.0000 0.5000 1
Cd1 0.1285 0.6285 0.5000 1
```

=====

(ii)
Li2CaCd2: relaxed, PBEsol.

```
data_Li2CaCd2
_chemical_formula_sum 'Li4 Ca2 Cd4'
_space_group_name_H-M_alt 'I 4/m m m'
_space_group_IT_number 139
_space_group_name_Hall '-I 4 2'
_cell_length_a 4.1845
_cell_length_b 4.1845
_cell_length_c 13.2790
_cell_angle_alpha 90.00
_cell_angle_beta 90.00
_cell_angle_gamma 90.00
loop_
_atom_site_label
_atom_site_fract_x
_atom_site_fract_y
_atom_site_fract_z
_atom_site_occupancy
Li1 0.0000 0.5000 0.2500 1
Ca1 0.0000 0.0000 0.0000 1
Cd1 0.0000 0.0000 0.3921 1
```

=====

The structure with the most favorable energy is (ii); the runner-up is 26 meV per atom above it.